1.
HoPuCd (PBE, relaxed); SG = C2/m (12); excess energy over the best structure of this formula in the dataset = 0.00 kcal/mol of atoms; raw total energy = -39.789 eV/cell; magnetization = 0.0000 μB/atom; calculated formation energy = -0.023 eV per atom
1.0
-0.5726 3.1829 2.4851
-1.9425 -2.8019 -0.2058
8.0163 -5.4581 8.8379
Pu Cd Ho
2 2 2
Cartesian
-0.5503 -0.6877 0.7540
6.0515 -4.3894 10.3632
2.0407 -2.9807 4.2879
3.4605 -2.0964 6.8293
5.1737 -4.7262 7.2455
0.3274 -0.3509 3.8717


2.
HoPuCd2 (PBE, relaxed); SG = Fm-3m (225); excess energy over the best structure of this formula in the dataset = 0.37 kcal/mol of atoms; raw total energy = -21.162 eV/cell; magnetization = 1.5712 μB/atom; calculated formation energy = -0.106 eV per atom
1.0
-2.0687 1.5374 4.6447
-1.6488 -3.6340 3.5060
2.7134 -0.7708 4.5011
Cd Ho Pu
2 1 1
Cartesian
-0.2510 -0.7169 3.1629
-0.7531 -2.1506 9.4888
0.0000 0.0000 0.0000
-0.5021 -1.4337 6.3259


3.
HoPuCd2 (PBE, relaxed); SG = P4/mmm (123); excess energy over the best structure of this formula in the dataset = 0.00 kcal/mol of atoms; raw total energy = -21.227 eV/cell; magnetization = 1.4246 μB/atom; calculated formation energy = -0.122 eV per atom
1.0
3.2532 0.0000 0.0000
0.0000 3.2532 0.0000
0.0000 0.0000 9.5062
Cd Ho Pu
2 1 1
Cartesian
0.0000 0.0000 7.1912
0.0000 0.0000 2.3151
1.6266 1.6266 0.0000
1.6266 1.6266 4.7531


4.
HoPuCdRh (PBE, relaxed); SG = F-43m (216); raw total energy = -28.311 eV/cell; magnetization = 1.3619 μB/atom; calculated formation energy = -0.284 eV per atom
1.0
-0.1384 4.6708 1.9442
-2.5599 3.6582 -2.3832
-4.2979 1.7877 1.9867
Cd Rh Ho Pu
1 1 1 1
Cartesian
-3.4981 5.0583 0.7738
0.0000 0.0000 0.0000
-1.7491 2.5292 0.3869
-5.2472 7.5875 1.1607


5.
HoPuCdRu (PBE, relaxed); SG = P4mm (99); excess energy over the best structure of this formula in the dataset = 0.00 kcal/mol of atoms; raw total energy = -30.069 eV/cell; magnetization = 1.2969 μB/atom; calculated formation energy = -0.242 eV per atom
1.0
3.3244 0.0000 0.0000
0.0000 3.3244 0.0000
0.0000 0.0000 8.2866
Ho Pu Cd Ru
1 1 1 1
Cartesian
1.6622 1.6622 6.4622
1.6622 1.6622 3.0202
0.0000 0.0000 0.5615
0.0000 0.0000 4.7453


6.
HoPuCdRu (PBE, relaxed); SG = F-43m (216); excess energy over the best structure of this formula in the dataset = 3.85 kcal/mol of atoms; raw total energy = -29.401 eV/cell; magnetization = 1.3365 μB/atom; calculated formation energy = -0.075 eV per atom
1.0
-4.1234 -0.9672 -2.7138
-4.0803 -1.9255 2.2241
-4.1171 2.8301 0.5852
Ru Cd Ho Pu
1 1 1 1
Cartesian
-9.2407 -0.0469 0.0717
-3.0802 -0.0156 0.0239
0.0000 0.0000 0.0000
-6.1604 -0.0313 0.0478


7.
HoPuCdSi (PBE, relaxed); SG = F-43m (216); raw total energy = -26.149 eV/cell; magnetization = 1.5729 μB/atom; formation energy (no corrections) = -0.23 eV per atom
1.0
5.1173 0.0000 0.0000
2.5587 4.4317 0.0000
2.5587 1.4772 4.1783
Si Cd Ho Pu
1 1 1 1
Cartesian
5.1173 2.9545 2.0891
0.0000 0.0000 0.0000
7.6760 4.4317 3.1337
2.5587 1.4772 1.0446


8.
SmHoPuCd (PBE, relaxed); SG = F-43m (216); raw total energy = -24.252 eV/cell; magnetization = 1.6372 μB/atom; calculated formation energy = 0.073 eV per atom
1.0
5.4311 0.0000 0.0000
2.7155 4.7035 0.0000
2.7155 1.5678 4.4345
Cd Ho Sm Pu
1 1 1 1
Cartesian
8.1466 4.7035 3.3258
5.4311 3.1356 2.2172
0.0000 0.0000 0.0000
2.7155 1.5678 1.1086


9.
HoPuCdSn (PBE, relaxed); SG = F-43m (216); raw total energy = -25.098 eV/cell; magnetization = 1.6329 μB/atom; calculated formation energy = -0.318 eV per atom
1.0
5.3173 0.0000 0.0000
2.6586 4.6049 0.0000
2.6586 1.5350 4.3415
Cd Ho Sn Pu
1 1 1 1
Cartesian
7.9759 4.6049 3.2562
5.3173 3.0699 2.1708
2.6586 1.5350 1.0854
0.0000 0.0000 0.0000


10.
TbHoPuCd (PBE, relaxed); SG = F-43m (216); raw total energy = -24.174 eV/cell; magnetization = 1.6431 μB/atom; calculated formation energy = 0.070 eV per atom
1.0
-4.1420 1.0476 -3.2977
0.3582 -1.2041 -5.2488
-2.9155 -4.0563 -2.0432
Cd Tb Ho Pu
1 1 1 1
Cartesian
0.0000 0.0000 0.0000
-5.0245 -3.1595 -7.9423
-1.6748 -1.0532 -2.6474
-3.3497 -2.1064 -5.2949


11.
HoPuThCd (PBE, relaxed); SG = F-43m (216); raw total energy = -26.850 eV/cell; magnetization = 1.6492 μB/atom; calculated formation energy = 0.099 eV per atom
1.0
-3.9514 -2.3117 2.8744
-1.2953 -5.1768 -0.8613
1.1937 -3.7392 3.7166
Cd Ho Th Pu
1 1 1 1
Cartesian
-2.0265 -5.6138 2.8648
-1.0132 -2.8069 1.4324
-3.0397 -8.4208 4.2973
0.0000 0.0000 0.0000


12.
HoPuTlCd (PBE, relaxed); SG = F-43m (216); raw total energy = -22.735 eV/cell; magnetization = 1.5809 μB/atom; calculated formation energy = -0.136 eV per atom
1.0
-2.4924 -4.6797 0.7390
-0.7262 -3.3274 -4.1302
2.7643 -4.5766 -0.2683
Tl Cd Ho Pu
1 1 1 1
Cartesian
0.0000 0.0000 0.0000
-0.2272 -6.2919 -1.8298
-0.3407 -9.4378 -2.7446
-0.1136 -3.1459 -0.9149